Rb2BaCoF8: optimized geometry, PBE with a Hubbard U.

Results
DOS(E_F) = 14.1 states/eV/cell
total energy = -4.468 eV/atom
crystal system = trigonal

a = 5.7968 Å, b = 5.7968 Å, c = 7.2787 Å
α = 90.00°, β = 90.00°, γ = 120.00°
Last column: nearest neighbours and their distance in Å.
Atoms (fractional coordinates):
Rb  0.3333  0.6667  0.3536  10 F 2.61-2.91
Rb  0.6667  0.3333  0.6464  10 F 2.61-2.91
Ba  0.0000  0.0000  0.0000  6 F 2.91
Co  0.0000  0.0000  0.5000  6 F 1.83
F  0.1447  0.2893  0.6530  1 Co 1.83
F  0.1447  0.8553  0.6530  1 Co 1.83
F  0.2893  0.1447  0.3470  1 Co 1.83
F  0.3333  0.6667  0.9956  1 Rb 2.61
F  0.6667  0.3333  0.0044  1 Rb 2.61
F  0.7107  0.8553  0.6530  1 Co 1.83
F  0.8553  0.1447  0.3470  1 Co 1.83
F  0.8553  0.7107  0.3470  1 Co 1.83